Below is a geometry-optimized Li2InGeB structure, with properties calculated at the PBE level.

Output
- Uncorrected energy: -2.337 eV/atom
- SG: P4/mmm (123)
- DOS at the Fermi energy: 0.446 states/eV per atom

Geometry as CIF:
```
data_Li2InGeB
_chemical_formula_sum 'Li2 In1 Ge1 B1'
_symmetry_space_group_name_H-M 'P 1'
_symmetry_Int_Tables_number 1
_symmetry_space_group_name_Hall 'P 1'
_cell_length_a 5.1290
_cell_length_b 5.1290
_cell_length_c 5.0960
_cell_angle_alpha 90.00
_cell_angle_beta 90.00
_cell_angle_gamma 90.00
loop_
_atom_site_label
_atom_site_type_symbol
_atom_site_fract_x
_atom_site_fract_y
_atom_site_fract_z
Li1 Li 0.0000 0.5000 0.0000
Li2 Li 0.5000 0.0000 0.0000
In1 In 0.0000 0.0000 0.0000
Ge1 Ge 0.0000 0.0000 0.5000
B1 B 0.5000 0.5000 0.5000
```